Arrangement a

Below is a relaxed Hf2NbTe2 crystal, with properties calculated at the PBE-GGA level.

Unit cell a=9.787 b=9.787 c=9.787 alpha=158.43 beta=158.43 gamma=30.69
Atoms (fractional coordinates):
1 Hf 0.584 0.584 0.000
2 Hf 0.416 0.416 0.000
3 Nb 0.000 0.000 0.000
4 Te 0.159 0.159 0.000
5 Te 0.841 0.841 0.000

symmetry = I4/mmm (139)
crystal system = tetragonal

Arrangement b

Below is a relaxed Hf2NbTe2 crystal, with properties calculated at the PBE-GGA level.

Unit cell a=7.627 b=7.627 c=7.627 alpha=148.71 beta=148.71 gamma=44.84
Atoms (fractional coordinates):
1 Te 0.393 0.393 0.000
2 Te 0.607 0.607 0.000
3 Hf 0.250 0.750 0.500
4 Hf 0.750 0.250 0.500
5 Nb 0.000 0.000 0.000

symmetry = I4/mmm (139)
crystal system = tetragonal

Relative energy of each structure, in meV/atom: arrangement a 0; arrangement b 1016.

Arrangement a

Below is a relaxed NdHf crystal, with properties calculated at the PBE-GGA level.

Unit cell a=3.386 b=3.386 c=5.529 alpha=90.00 beta=90.00 gamma=120.00
Atoms (fractional coordinates):
1 Nd 0.333 0.667 0.250
2 Hf 0.667 0.333 0.750

symmetry = P-6m2 (187)
crystal system = hexagonal

Arrangement b

Below is a relaxed NdHf crystal, with properties calculated at the PBE-GGA level.

Unit cell a=4.376 b=4.376 c=4.376 alpha=60.00 beta=60.00 gamma=60.00
Atoms (fractional coordinates):
1 Hf 0.000 0.000 0.000
2 Nd 0.500 0.500 0.500

symmetry = Fm-3m (225)
crystal system = cubic

Arrangement c

Below is a relaxed NdHf crystal, with properties calculated at the PBE-GGA level.

Unit cell a=4.699 b=4.699 c=4.699 alpha=60.00 beta=60.00 gamma=60.00
Atoms (fractional coordinates):
1 Nd 0.250 0.250 0.250
2 Hf 0.000 0.000 0.000

symmetry = F-43m (216)
crystal system = cubic

Relative energy of each structure, in meV/atom: arrangement a 0; arrangement b 798; arrangement c 1877.

Arrangement a

Below is a relaxed NdHfOs crystal, with properties calculated at the PBE-GGA level.

Unit cell a=4.656 b=4.656 c=4.656 alpha=60.00 beta=60.00 gamma=60.00
Atoms (fractional coordinates):
1 Os 0.750 0.750 0.750
2 Hf 0.250 0.250 0.250
3 Nd 0.000 0.000 0.000

symmetry = F-43m (216)
crystal system = cubic

Arrangement b

Below is a relaxed NdHfOs crystal, with properties calculated at the PBE-GGA level.

Unit cell a=7.578 b=7.578 c=4.483 alpha=90.00 beta=90.00 gamma=120.00
Atoms (fractional coordinates):
1 Hf 0.550 0.550 0.000
2 Hf 0.450 0.000 0.000
3 Hf 0.000 0.450 0.000
4 Os 0.251 0.000 0.500
5 Os 0.749 0.749 0.500
6 Os 0.000 0.251 0.500
7 Nd 0.667 0.333 0.500
8 Nd 0.333 0.667 0.500
9 Nd 0.000 0.000 0.000

symmetry = P-62m (189)
crystal system = hexagonal

Relative energy of each structure, in meV/atom: arrangement a 714; arrangement b 0.

Arrangement a

Below is a relaxed HfNiPdPb crystal, with properties calculated at the PBE-GGA level.

Unit cell a=4.637 b=4.637 c=4.637 alpha=60.00 beta=60.00 gamma=60.00
Atoms (fractional coordinates):
1 Ni 0.750 0.750 0.750
2 Hf 0.500 0.500 0.500
3 Pd 0.250 0.250 0.250
4 Pb 0.000 0.000 0.000

symmetry = F-43m (216)
crystal system = cubic

Arrangement b

Below is a relaxed HfNiPdPb crystal, with properties calculated at the PBE-GGA level.

Unit cell a=4.622 b=4.622 c=4.622 alpha=60.00 beta=60.00 gamma=60.00
Atoms (fractional coordinates):
1 Ni 0.750 0.750 0.750
2 Pb 0.000 0.000 0.000
3 Hf 0.250 0.250 0.250
4 Pd 0.500 0.500 0.500

symmetry = F-43m (216)
crystal system = cubic

Relative energy of each structure, in meV/atom: arrangement a 0; arrangement b 219.